(1)
# HoLuRuAu (PBE-GGA, optimized geometry)
data_HoLuRuAu
_space_group_name_H-M_alt 'F -4 3 m'
_space_group_IT_number 216
_space_group_name_Hall 'F -4 2 3'
_cell_length_a 6.9116
_cell_length_b 6.9116
_cell_length_c 6.9116
_cell_angle_alpha 90.00
_cell_angle_beta 90.00
_cell_angle_gamma 90.00
loop_
_atom_site_label
_atom_site_type_symbol
_atom_site_fract_x
_atom_site_fract_y
_atom_site_fract_z
Ho1 Ho 0.0000 0.0000 0.0000
Lu1 Lu 0.0000 0.0000 0.5000
Ru1 Ru 0.2500 0.2500 0.7500
Au1 Au 0.2500 0.2500 0.2500
# * calculated volume: 82.5 Å³/f.u.
# * DFT total energy: -96.75 eV per cell
# * M_tot: 0.000 μB/atom
# * crystal system: cubic
# * mass density: 12.83 g/cm³


(2)
# GaCuAg2 (PBE-GGA, optimized geometry)
data_GaCuAg2
_space_group_name_H-M_alt 'P 4/m m m'
_space_group_IT_number 123
_space_group_name_Hall '-P 4 2'
_cell_length_a 3.1558
_cell_length_b 3.1558
_cell_length_c 6.5414
_cell_angle_alpha 90.00
_cell_angle_beta 90.00
_cell_angle_gamma 90.00
loop_
_atom_site_label
_atom_site_type_symbol
_atom_site_fract_x
_atom_site_fract_y
_atom_site_fract_z
Ga1 Ga 0.0000 0.0000 0.0000
Cu1 Cu 0.0000 0.0000 0.5000
Ag1 Ag 0.5000 0.5000 0.2644
# * calculated volume: 65.1 Å³/f.u.
# * DFT total energy: -12.56 eV per cell
# * M_tot: 0.000 μB/atom
# * crystal system: tetragonal
# * mass density: 8.90 g/cm³


Copy entry 2 word for word.
# GaCuAg2 (PBE-GGA, optimized geometry)
data_GaCuAg2
_space_group_name_H-M_alt 'P 4/m m m'
_space_group_IT_number 123
_space_group_name_Hall '-P 4 2'
_cell_length_a 3.1558
_cell_length_b 3.1558
_cell_length_c 6.5414
_cell_angle_alpha 90.00
_cell_angle_beta 90.00
_cell_angle_gamma 90.00
loop_
_atom_site_label
_atom_site_type_symbol
_atom_site_fract_x
_atom_site_fract_y
_atom_site_fract_z
Ga1 Ga 0.0000 0.0000 0.0000
Cu1 Cu 0.0000 0.0000 0.5000
Ag1 Ag 0.5000 0.5000 0.2644
# * calculated volume: 65.1 Å³/f.u.
# * DFT total energy: -12.56 eV per cell
# * M_tot: 0.000 μB/atom
# * crystal system: tetragonal
# * mass density: 8.90 g/cm³